# YCdTe2, relaxed, DFT PBE
# E_tot	-16.7	eV for the cell shown
# calculated volume	28.59	A^3/atom
data_YCdTe2
_chemical_formula_sum 'Y1 Cd1 Te2'
_cell_length_a 3.918
_cell_length_b 3.909
_cell_length_c 7.541
_cell_angle_alpha 90.00
_cell_angle_beta 98.02
_cell_angle_gamma 90.00
_symmetry_space_group_name_H-M 'P 1 2/m 1'
_symmetry_Int_Tables_number 10
_symmetry_space_group_name_Hall '-P 2y'
loop_
_atom_site_label
_atom_site_fract_x
_atom_site_fract_y
_atom_site_fract_z
Y1 0.000 0.000 0.000
Cd1 0.000 0.000 0.500
Te1 0.409 0.500 0.766